A plane-wave DFT calculation with PBE was carried out for KNaGe2Br6 after structural relaxation.

Cell: 8.8846 10.1494 10.1494 Å, 88.25 70.88 70.88°
Last column: nearest neighbours and their distance in Å.
Element x y z (fractional)
Ge1 0.7814 0.1675 0.4289  3 Br 2.50-2.62
Ge2 0.2186 0.8325 0.5711  3 Br 2.50-2.62
Ge3 0.2814 0.4289 0.1675  3 Br 2.50-2.62
Ge4 0.7186 0.5711 0.8325  3 Br 2.50-2.62
Br1 0.5208 0.7006 0.5416  1 Ge 2.50
Br2 0.6629 0.7772 0.0102  1 Ge 2.62
Br3 0.9792 0.4584 0.2994  1 Ge 2.50
Br4 0.1629 0.0102 0.7772  1 Ge 2.62
Br5 0.3371 0.2228 0.9898  1 Ge 2.62
Br6 0.4792 0.2994 0.4584  1 Ge 2.50
Br7 0.8371 0.9898 0.2228  1 Ge 2.62
Br8 0.2315 0.6157 0.0050  1 Ge 2.50
Br9 0.2685 0.9950 0.3843  1 Ge 2.50
Br10 0.7315 0.0050 0.6157  1 Ge 2.50
Br11 0.0208 0.5416 0.7006  1 Ge 2.50
Br12 0.7685 0.3843 0.9950  1 Ge 2.50
Na1 0.2500 0.2703 0.7297  4 Br 2.91-2.97
Na2 0.7500 0.7297 0.2703  4 Br 2.91-2.97
K1 0.7500 0.0756 0.9244  6 Br 3.30-3.39
K2 0.2500 0.9244 0.0756  6 Br 3.30-3.39

- Spin magnetization: 0.00 μB/cell
- Calculated volume: 814 Å³ per cell
- Formation energy without anion corrections: -0.98 eV/atom
- Calculated total energy: -62.89 eV/cell



A plane-wave DFT calculation with PBE was carried out for LiPmGe2 after structural relaxation.

Cell: 3.4403 3.4403 6.7047 Å, 90.00 90.00 90.00°
Last column: nearest neighbours and their distance in Å.
Element x y z (fractional)
Ge1 0.0000 0.0000 0.1979  1 Ge 2.65, 4 Li 2.77
Ge2 0.0000 0.0000 0.8021  1 Ge 2.65, 4 Li 2.77
Pm1 0.5000 0.5000 0.5000  8 Ge 3.17, 2 Li 3.35, 4 Pm 3.44
Li1 0.5000 0.5000 0.0000  8 Ge 2.77

- Spin magnetization: 0.00 μB/cell
- Calculated volume: 79 Å³ per cell
- Energy relative to the elements: -0.43 eV per atom
- Calculated total energy: -17.63 eV/cell



A plane-wave DFT calculation with PBE was carried out for BaSnP2O8 after structural relaxation.

Cell: 4.9596 4.9596 8.0282 Å, 86.62 86.62 64.64°
Last column: nearest neighbours and their distance in Å.
Element x y z (fractional)
O1 0.7610 0.7610 0.5616  1 P 1.54
O2 0.6907 0.6907 0.8847  1 P 1.52
O3 0.7652 0.2855 0.6906  1 P 1.57
O4 0.7145 0.2348 0.3094  1 P 1.57
O5 0.2390 0.2390 0.4384  1 P 1.54
O6 0.2855 0.7652 0.6906  1 P 1.57
O7 0.3093 0.3093 0.1153  1 P 1.52
O8 0.2348 0.7145 0.3094  1 P 1.57
P1 0.6333 0.6333 0.7087  4 O 1.52-1.57
P2 0.3667 0.3667 0.2913  4 O 1.52-1.57
Sn1 0.0000 0.0000 0.5000  6 O 2.03-2.08
Ba1 0.0000 0.0000 0.0000  6 O 2.81-2.84

- Spin magnetization: 0.00 μB/cell
- Calculated volume: 178 Å³ per cell
- Formation energy without anion corrections: -2.36 eV/atom
- Calculated total energy: -84.78 eV/cell



A plane-wave DFT calculation with PBE was carried out for TaMo after structural relaxation.

Cell: 2.8725 4.5074 7.8514 Å, 90.00 89.66 90.00°
Last column: nearest neighbours and their distance in Å.
Element x y z (fractional)
Ta1 0.6745 0.0000 0.3293  5 Mo 2.73-2.78, 3 Ta 2.84-2.87
Ta2 0.6801 0.5000 0.8377  4 Mo 2.77-2.82, 4 Ta 2.83-2.87
Ta3 0.3115 0.0000 0.6664  3 Mo 2.77-2.78, 5 Ta 2.83-2.87
Mo1 0.0003 0.5000 0.4969  3 Mo 2.75-2.87, 5 Ta 2.77-2.82
Mo2 0.0077 0.0000 0.0032  4 Ta 2.73-2.78, 4 Mo 2.75-2.87
Mo3 0.3259 0.5000 0.1666  5 Mo 2.75-2.87, 3 Ta 2.77-2.78

- Spin magnetization: 0.00 μB/cell
- Calculated volume: 102 Å³ per cell
- Energy relative to the elements: -0.12 eV per atom
- Calculated total energy: -68.75 eV/cell



A plane-wave DFT calculation with PBE was carried out for NaVAs2 after structural relaxation.

Cell: 6.4097 6.4097 7.1202 Å, 63.25 63.25 90.00°
Last column: nearest neighbours and their distance in Å.
Element x y z (fractional)
V1 0.0000 0.0000 0.0000  4 As 2.34
V2 0.7500 0.2500 0.5000  4 As 2.34
Na1 0.2500 0.7500 0.5000  4 As 3.04
Na2 0.5000 0.5000 0.0000  4 As 3.04
As1 0.8750 0.9667 0.7500  2 V 2.34
As2 0.3750 0.2833 0.7500  2 V 2.34
As3 0.7167 0.1250 0.2500  2 V 2.34
As4 0.0333 0.6250 0.2500  2 V 2.34

- Spin magnetization: 0.00 μB/cell
- Calculated volume: 226 Å³ per cell
- Energy relative to the elements: -0.06 eV per atom
- Calculated total energy: -39.97 eV/cell



A plane-wave DFT calculation with PBE was carried out for Rb2ZrRuI6 after structural relaxation.

Cell: 8.2002 8.2002 8.2098 Å, 60.04 60.04 90.00°
Last column: nearest neighbours and their distance in Å.
Element x y z (fractional)
Rb1 0.2500 0.7500 0.5000  12 I 4.10
Rb2 0.7500 0.2500 0.5000  12 I 4.10
I1 0.2486 0.2486 0.0000  1 Ru 2.88, 1 Zr 2.92
I2 0.2488 0.2488 0.5024  1 Ru 2.89, 1 Zr 2.92
I3 0.7514 0.7514 0.0000  1 Ru 2.88, 1 Zr 2.92
I4 0.7512 0.7512 0.4976  1 Ru 2.89, 1 Zr 2.92
I5 0.2486 0.7514 0.0000  1 Ru 2.88, 1 Zr 2.92
I6 0.7514 0.2486 0.0000  1 Ru 2.88, 1 Zr 2.92
Ru1 0.0000 0.0000 0.0000  6 I 2.88-2.89
Zr1 0.5000 0.5000 0.0000  6 I 2.92

- Spin magnetization: 2.00 μB/cell
- Calculated volume: 391 Å³ per cell
- Formation energy without anion corrections: -0.65 eV/atom
- Calculated total energy: -35.58 eV/cell



A plane-wave DFT calculation with PBE was carried out for Pm6P2S3I after structural relaxation.

Cell: 4.1219 8.3668 9.2199 Å, 102.10 102.92 90.00°
Last column: nearest neighbours and their distance in Å.
Element x y z (fractional)
S1 0.8403 0.1645 0.6806  6 Pm 2.78-3.01
S2 0.5000 0.5000 0.0000  6 Pm 2.73-2.95
S3 0.1597 0.8355 0.3194  6 Pm 2.78-3.01
Pm1 0.3317 0.4215 0.6634  3 P 2.88-2.90, 3 S 2.95-3.01
Pm2 0.6818 0.1040 0.3636  3 S 2.78-3.01, 2 P 2.87
Pm3 0.6683 0.5785 0.3366  3 P 2.88-2.90, 3 S 2.95-3.01
Pm4 0.3182 0.8960 0.6364  3 S 2.78-3.01, 2 P 2.87
Pm5 0.9946 0.7108 0.9893  3 S 2.73-2.93, 1 P 2.86
Pm6 0.0054 0.2892 0.0107  3 S 2.73-2.93, 1 P 2.86
P1 0.8324 0.6664 0.6648  6 Pm 2.86-2.90
P2 0.1676 0.3336 0.3352  6 Pm 2.86-2.90
I1 0.5000 0.0000 0.0000  6 Pm 3.16-3.20

- Spin magnetization: 0.00 μB/cell
- Calculated volume: 303 Å³ per cell
- Formation energy without anion corrections: -1.70 eV/atom
- Calculated total energy: -73.62 eV/cell



A plane-wave DFT calculation with PBE was carried out for NaNd5Hg4 after structural relaxation.

Cell: 3.8752 3.8752 19.6955 Å, 90.00 90.00 90.00°
Last column: nearest neighbours and their distance in Å.
Element x y z (fractional)
Nd1 0.5000 0.5000 0.6906  8 Hg 3.31-3.38, 1 Nd 3.69
Nd2 0.5000 0.5000 0.3094  8 Hg 3.31-3.38, 1 Nd 3.69
Nd3 0.5000 0.5000 0.8779  4 Hg 3.23
Nd4 0.5000 0.5000 0.5000  8 Hg 3.33
Nd5 0.5000 0.5000 0.1221  4 Hg 3.23
Hg1 0.0000 0.0000 0.4035  8 Nd 3.31-3.33
Hg2 0.0000 0.0000 0.7912  8 Nd 3.23-3.38
Hg3 0.0000 0.0000 0.2088  8 Nd 3.23-3.38
Hg4 0.0000 0.0000 0.5965  8 Nd 3.31-3.33
Na1 0.0000 0.0000 0.0000  8 Nd 3.65, 4 Na 3.88

- Spin magnetization: 2.22 μB/cell
- Calculated volume: 296 Å³ per cell
- Energy relative to the elements: -0.33 eV per atom
- Calculated total energy: -29.63 eV/cell



A plane-wave DFT calculation with PBE was carried out for SrHfSbI2 after structural relaxation.

Cell: 5.6585 5.6585 5.7080 Å, 90.00 90.00 90.00°
Last column: nearest neighbours and their distance in Å.
Element x y z (fractional)
Hf1 0.0000 0.0000 0.0000  4 I 2.83, 2 Sb 2.85
Sr1 0.5000 0.5000 0.5000  4 Sb 4.00, 8 I 4.02
Sb1 0.0000 0.0000 0.5000  2 Hf 2.85
I1 0.0000 0.5000 0.0000  2 Hf 2.83
I2 0.5000 0.0000 0.0000  2 Hf 2.83

- Spin magnetization: 0.00 μB/cell
- Calculated volume: 183 Å³ per cell
- Formation energy without anion corrections: -0.49 eV/atom
- Calculated total energy: -21.31 eV/cell



A plane-wave DFT calculation with PBE was carried out for K2TeRu after structural relaxation.

Cell: 6.4804 6.4804 6.4804 Å, 140.94 126.77 67.97°
Last column: nearest neighbours and their distance in Å.
Element x y z (fractional)
Te1 0.3120 0.8120 0.5000  2 Ru 2.51
K1 0.7304 0.2304 0.5000  4 Ru 3.61-3.89, 4 K 3.63-3.86, 4 Te 3.73
K2 0.0282 0.0282 0.0000  4 K 3.63-3.86, 4 Te 3.72-3.74, 4 Ru 3.77
Ru1 0.4295 0.4295 0.0000  2 Te 2.51

- Spin magnetization: 0.93 μB/cell
- Calculated volume: 135 Å³ per cell
- Formation energy without anion corrections: 0.10 eV/atom
- Calculated total energy: -14.19 eV/cell



A plane-wave DFT calculation with PBE was carried out for CuNiAsBr2 after structural relaxation.

Cell: 5.0136 5.0136 4.7301 Å, 90.00 90.00 90.00°
Last column: nearest neighbours and their distance in Å.
Element x y z (fractional)
As1 0.0000 0.0000 0.5000  2 Cu 2.37
Cu1 0.0000 0.0000 0.0000  2 As 2.37, 4 Br 2.51
Br1 0.5000 0.0000 0.0000  2 Cu 2.51
Br2 0.0000 0.5000 0.0000  2 Cu 2.51
Ni1 0.5000 0.5000 0.5000  8 Br 3.45, 4 As 3.55

- Spin magnetization: 0.04 μB/cell
- Calculated volume: 119 Å³ per cell
- Formation energy without anion corrections: 0.79 eV/atom
- Calculated total energy: -13.92 eV/cell



A plane-wave DFT calculation with PBE was carried out for Ho2HPb after structural relaxation.

Cell: 3.5504 3.5504 8.2740 Å, 77.61 77.61 60.00°
Last column: nearest neighbours and their distance in Å.
Element x y z (fractional)
Ho1 0.7231 0.7231 0.8306  3 H 2.46
Ho2 0.2769 0.2769 0.1694  3 H 2.46
Pb1 0.5000 0.5000 0.5000  6 Ho 3.35, 6 Pb 3.55
H1 0.0000 0.0000 0.0000  6 Ho 2.46

- Spin magnetization: 0.00 μB/cell
- Calculated volume: 88 Å³ per cell
- Calculated total energy: -17.61 eV/cell